[1]
Below is an optimized crystal structure of BaCu2Os, with properties calculated at the PBE level.

```
data_BaCu2Os
_symmetry_space_group_name_H-M 'C 1 2/m 1'
_symmetry_Int_Tables_number 12
_symmetry_space_group_name_Hall '-C 2y'
_cell_length_a 6.6137
_cell_length_b 7.4394
_cell_length_c 2.9639
_cell_angle_alpha 90.00
_cell_angle_beta 90.18
_cell_angle_gamma 90.00
loop_
_atom_site_label
_atom_site_fract_x
_atom_site_fract_y
_atom_site_fract_z
_atom_site_occupancy
Ba1 0.0000 0.0000 0.0000 1
Cu1 0.2500 0.2500 0.5000 1
Os1 0.0000 0.5000 0.0000 1
```

## Properties
DFT formation energy	878	meV/atom

[2]
Below is an optimized crystal structure of BaCu2Os, with properties calculated at the PBE level.

```
data_BaCu2Os
_symmetry_space_group_name_H-M 'I 41/a m d'
_symmetry_Int_Tables_number 141
_cell_length_a 4.8376
_cell_length_b 4.8376
_cell_length_c 17.0839
_cell_angle_alpha 90.00
_cell_angle_beta 90.00
_cell_angle_gamma 90.00
loop_
_symmetry_equiv_pos_as_xyz
'x,y,z'
'-x,-y,-z'
'-y+1/4,x+3/4,z+1/4'
'y+1/4,-x+3/4,-z+1/4'
'-x+1/2,-y,z+1/2'
'x+1/2,y,-z+1/2'
'y+1/4,-x+1/4,z+3/4'
'-y+1/4,x+1/4,-z+3/4'
'x,-y,-z'
'-x,y,z'
'-y+1/4,-x+1/4,-z+3/4'
'y+1/4,x+1/4,z+3/4'
'-x+1/2,y,-z+1/2'
'x+1/2,-y,z+1/2'
'y+1/4,x+3/4,-z+1/4'
'-y+1/4,-x+3/4,z+1/4'
'x+1/2,y+1/2,z+1/2'
'-x+1/2,-y+1/2,-z+1/2'
'-y+3/4,x+1/4,z+3/4'
'y+3/4,-x+1/4,-z+3/4'
'-x,-y+1/2,z'
'x,y+1/2,-z'
'y+3/4,-x+3/4,z+1/4'
'-y+3/4,x+3/4,-z+1/4'
'x+1/2,-y+1/2,-z+1/2'
'-x+1/2,y+1/2,z+1/2'
'-y+3/4,-x+3/4,-z+1/4'
'y+3/4,x+3/4,z+1/4'
'-x,y+1/2,-z'
'x,-y+1/2,z'
'y+3/4,x+1/4,-z+3/4'
'-y+3/4,-x+1/4,z+3/4'
loop_
_atom_site_label
_atom_site_fract_x
_atom_site_fract_y
_atom_site_fract_z
_atom_site_occupancy
Ba1 0.0000 0.2500 0.3750 1
Cu1 0.0000 0.0000 0.0000 1
Os1 0.0000 0.2500 0.8750 1
```

## Properties
DFT formation energy	676	meV/atom